# Na4Y3BiSe8

A geometry-optimized Na4Y3BiSe8 structure (PBE, Alexandria).

Properties
Space group: R-3m (166)
Theoretical density: 4.69 Mg/m³
Formation energy from raw total energies: -23.5 eV/f.u.

The structure in POSCAR format:
```
Na4Y3BiSe8
1.0
8.352 0.000 0.000
0.000 8.525 0.112
-4.176 -4.173 5.908
Na Y Bi Se
4 3 1 8
Direct
0.500 0.000 0.000 Na
0.500 0.000 0.500 Na
0.000 0.000 0.000 Na
0.000 0.000 0.500 Na
0.500 0.500 0.000 Y
0.500 0.500 0.500 Y
0.000 0.500 0.500 Y
0.000 0.500 0.000 Bi
0.247 0.732 0.986 Se
0.247 0.732 0.494 Se
0.257 0.272 0.514 Se
0.738 0.732 0.986 Se
0.262 0.268 0.014 Se
0.743 0.728 0.486 Se
0.753 0.268 0.506 Se
0.753 0.268 0.014 Se
```